# 1
Rb2SnF6: optimized geometry, PBEsol.

a b c (Å): 6.1582 6.1582 6.1582
angles (deg): 60.00 60.00 60.00
With the nearest neighbours (Å) after each atom.
Positions (direct):
F 0.2279 0.7721 0.7721  1 Sn 1.98
F 0.2279 0.2279 0.7721  1 Sn 1.98
F 0.2279 0.7721 0.2279  1 Sn 1.98
F 0.7721 0.2279 0.7721  1 Sn 1.98
F 0.7721 0.7721 0.2279  1 Sn 1.98
F 0.7721 0.2279 0.2279  1 Sn 1.98
Rb 0.7500 0.7500 0.7500  12 F 3.09
Rb 0.2500 0.2500 0.2500  12 F 3.09
Sn 0.0000 0.0000 0.0000  6 F 1.98

Its space-group type is Fm-3m (225). Its crystal system is cubic. The value obtained for the total energy is -4.7225 eV per atom. For the uncorrected formation energy, the calculation gives -2736 meV per atom.

***

# 2
KGe3As3: optimized geometry, PBEsol.

a b c (Å): 3.8321 9.6932 18.7417
angles (deg): 90.00 90.00 90.00
With the nearest neighbours (Å) after each atom.
Positions (direct):
Ge 0.2500 0.5174 0.6350  2 As 2.54, 1 Ge 2.56
Ge 0.2500 0.3964 0.7565  3 As 2.48-2.50, 1 Ge 2.56
Ge 0.7500 0.9826 0.1350  2 As 2.54, 1 Ge 2.56
Ge 0.2500 0.0174 0.8650  2 As 2.54, 1 Ge 2.56
Ge 0.7500 0.6036 0.2435  3 As 2.48-2.50, 1 Ge 2.56
Ge 0.2500 0.3241 0.1546  4 As 2.42-2.47
Ge 0.2500 0.8241 0.3454  4 As 2.42-2.47
Ge 0.7500 0.4826 0.3650  2 As 2.54, 1 Ge 2.56
Ge 0.7500 0.1759 0.6546  4 As 2.42-2.47
Ge 0.2500 0.8964 0.7435  3 As 2.48-2.50, 1 Ge 2.56
Ge 0.7500 0.6759 0.8454  4 As 2.42-2.47
Ge 0.7500 0.1036 0.2565  3 As 2.48-2.50, 1 Ge 2.56
As 0.2500 0.6186 0.4190  3 Ge 2.42-2.54
As 0.2500 0.0232 0.6285  3 Ge 2.47-2.48
As 0.2500 0.2624 0.2804  3 Ge 2.43-2.50
As 0.2500 0.7624 0.2196  3 Ge 2.43-2.50
As 0.2500 0.5232 0.8715  3 Ge 2.47-2.48
As 0.7500 0.7376 0.7196  3 Ge 2.43-2.50
As 0.7500 0.3814 0.5810  3 Ge 2.42-2.54
As 0.7500 0.2376 0.7804  3 Ge 2.43-2.50
As 0.2500 0.1186 0.0810  3 Ge 2.42-2.54
As 0.7500 0.9768 0.3715  3 Ge 2.47-2.48
As 0.7500 0.4768 0.1285  3 Ge 2.47-2.48
As 0.7500 0.8814 0.9190  3 Ge 2.42-2.54
K 0.7500 0.7645 0.5422  5 As 3.32-3.55, 2 Ge 3.53
K 0.2500 0.2355 0.4578  5 As 3.32-3.55, 2 Ge 3.53
K 0.7500 0.2645 0.9578  5 As 3.32-3.55, 2 Ge 3.53
K 0.2500 0.7355 0.0422  5 As 3.32-3.55, 2 Ge 3.53

Its space-group type is Pnma (62). The formation energy is -0.1903 eV/atom. Its crystal system is orthorhombic. The value obtained for the total energy is -4.6573 eV per atom.

***

# 3
BaZnP2O: optimized geometry, PBEsol.

a b c (Å): 4.6136 4.6136 4.5078
angles (deg): 90.00 90.00 90.00
With the nearest neighbours (Å) after each atom.
Positions (direct):
P 0.5000 0.0000 0.0000  2 Zn 2.31
P 0.0000 0.5000 0.0000  2 Zn 2.31
Zn 0.0000 0.0000 0.0000  2 O 2.25, 4 P 2.31
Ba 0.5000 0.5000 0.5000  8 P 3.23, 4 O 3.26
O 0.0000 0.0000 0.5000  2 Zn 2.25

Its space-group type is P4/mmm (123). Its crystal system is tetragonal. The value obtained for the total energy is -4.3192 eV per atom. For the uncorrected formation energy, the calculation gives -207 meV per atom.

***

# 4
Zn2AgAu: optimized geometry, PBEsol.

a b c (Å): 3.1607 4.3767 4.3767
angles (deg): 90.06 90.00 90.00
With the nearest neighbours (Å) after each atom.
Positions (direct):
Zn 0.0000 0.0000 0.5000  4 Ag 2.70, 4 Au 2.70
Zn 0.0000 0.5000 0.0000  4 Au 2.70, 4 Ag 2.70
Au 0.5000 0.5000 0.5000  8 Zn 2.70
Ag 0.5000 0.0000 0.0000  8 Zn 2.70

Its space-group type is P4/mmm (123). The formation energy is -0.1534 eV/atom. Its crystal system is tetragonal. The value obtained for the total energy is -2.7532 eV per atom.